# GGA-PBE Ba2Cu6PdPt, relaxed
data_Ba2Cu6PdPt
_chemical_formula_sum 'Ba2 Cu6 Pd1 Pt1'
_cell_length_a 6.5875
_cell_length_b 6.5942
_cell_length_c 6.7271
_cell_angle_alpha 60.67
_cell_angle_beta 89.98
_cell_angle_gamma 60.07
_space_group_name_H-M_alt 'P -1'
_space_group_IT_number 2
loop_
_space_group_symop_operation_xyz
'x,y,z'
'-x,-y,-z'
loop_
_atom_site_label
_atom_site_fract_x
_atom_site_fract_y
_atom_site_fract_z
Ba1 0.1988 0.1023 0.0970
Cu1 0.2362 0.0038 0.6194
Cu2 0.2602 0.6170 0.6195
Cu3 0.3771 0.3583 0.3806
Pd1 0.5000 0.5000 0.0000
Pt1 0.0000 0.5000 0.5000
# formation enthalpy at 0 K = -0.179 eV/atom
# crystal system = triclinic
# V = 20.89 Å³/atom



# GGA-PBE BaCuPd2Rh, relaxed
data_BaCuPd2Rh
_chemical_formula_sum 'Ba1 Cu1 Pd2 Rh1'
_cell_length_a 4.6750
_cell_length_b 4.6750
_cell_length_c 5.4559
_cell_angle_alpha 90.00
_cell_angle_beta 90.00
_cell_angle_gamma 90.00
_space_group_name_H-M_alt 'P 4/m m m'
_space_group_IT_number 123
_space_group_name_Hall '-P 4 2'
loop_
_atom_site_label
_atom_site_fract_x
_atom_site_fract_y
_atom_site_fract_z
Ba1 0.0000 0.0000 0.0000
Cu1 0.0000 0.0000 0.5000
Pd1 0.0000 0.5000 0.5000
Rh1 0.5000 0.5000 0.0000
# formation enthalpy at 0 K = 0.677 eV/atom
# crystal system = tetragonal
# V = 23.85 Å³/atom



# GGA-PBE Ba2CuSb4Pd3, relaxed
data_Ba2CuSb4Pd3
_chemical_formula_sum 'Ba2 Cu1 Sb4 Pd3'
_cell_length_a 4.7893
_cell_length_b 4.7893
_cell_length_c 10.8611
_cell_angle_alpha 90.00
_cell_angle_beta 90.00
_cell_angle_gamma 90.00
_space_group_name_H-M_alt 'P -4 m 2'
_space_group_IT_number 115
loop_
_space_group_symop_operation_xyz
'x,y,z'
'y,-x,-z'
'-x,-y,z'
'-y,x,-z'
'-x,y,z'
'-y,-x,-z'
'x,-y,z'
'y,x,-z'
loop_
_atom_site_label
_atom_site_fract_x
_atom_site_fract_y
_atom_site_fract_z
Ba1 0.0000 0.5000 0.2421
Cu1 0.5000 0.5000 0.0000
Sb1 0.0000 0.0000 0.5000
Sb2 0.0000 0.5000 0.8769
Sb3 0.5000 0.5000 0.5000
Pd1 0.0000 0.0000 0.0000
Pd2 0.0000 0.5000 0.6243
# formation energy (no corrections) = -0.72 eV per atom
# crystal system = tetragonal
# V = 24.91 Å³/atom



# GGA-PBE Ba2CuSbPd6, relaxed
data_Ba2CuSbPd6
_chemical_formula_sum 'Ba4 Cu2 Sb2 Pd12'
_cell_length_a 12.7311
_cell_length_b 5.7477
_cell_length_c 8.6704
_cell_angle_alpha 90.00
_cell_angle_beta 132.73
_cell_angle_gamma 90.00
_space_group_name_H-M_alt 'C 1 2/m 1'
_space_group_IT_number 12
loop_
_space_group_symop_operation_xyz
'x,y,z'
'-x,-y,-z'
'-x,y,-z'
'x,-y,z'
'x+1/2,y+1/2,z'
'-x+1/2,-y+1/2,-z'
'-x+1/2,y+1/2,-z'
'x+1/2,-y+1/2,z'
loop_
_atom_site_label
_atom_site_fract_x
_atom_site_fract_y
_atom_site_fract_z
Ba1 0.2363 0.0000 0.2784
Cu1 0.0000 0.5000 0.0000
Sb1 0.0000 0.0000 0.5000
Pd1 0.0190 0.2607 0.7652
Pd2 0.2458 0.5000 0.1029
# formation energy (no corrections) = -0.47 eV per atom
# crystal system = monoclinic
# V = 23.30 Å³/atom



# GGA-PBE Ba2CuSn3Pd4, relaxed
data_Ba2CuSn3Pd4
_chemical_formula_sum 'Ba2 Cu1 Sn3 Pd4'
_cell_length_a 4.7357
_cell_length_b 4.7357
_cell_length_c 10.8054
_cell_angle_alpha 90.00
_cell_angle_beta 90.00
_cell_angle_gamma 90.00
_space_group_name_H-M_alt 'P -4 m 2'
_space_group_IT_number 115
loop_
_space_group_symop_operation_xyz
'x,y,z'
'y,-x,-z'
'-x,-y,z'
'-y,x,-z'
'-x,y,z'
'-y,-x,-z'
'x,-y,z'
'y,x,-z'
loop_
_atom_site_label
_atom_site_fract_x
_atom_site_fract_y
_atom_site_fract_z
Ba1 0.0000 0.5000 0.2446
Cu1 0.5000 0.5000 0.0000
Sn1 0.0000 0.0000 0.0000
Sn2 0.0000 0.5000 0.6206
Pd1 0.0000 0.0000 0.5000
Pd2 0.0000 0.5000 0.8769
Pd3 0.5000 0.5000 0.5000
# formation enthalpy at 0 K = -0.598 eV/atom
# crystal system = tetragonal
# V = 24.23 Å³/atom



# GGA-PBE BaCuSn2Pd, relaxed
data_BaCuSn2Pd
_chemical_formula_sum 'Ba2 Cu2 Sn4 Pd2'
_cell_length_a 4.7731
_cell_length_b 4.7731
_cell_length_c 11.1249
_cell_angle_alpha 90.00
_cell_angle_beta 90.00
_cell_angle_gamma 90.00
_space_group_name_H-M_alt 'I -4 m 2'
_space_group_IT_number 119
_space_group_name_Hall 'I -4 -2'
loop_
_atom_site_label
_atom_site_fract_x
_atom_site_fract_y
_atom_site_fract_z
Ba1 0.0000 0.0000 0.0000
Cu1 0.0000 0.5000 0.7500
Sn1 0.0000 0.0000 0.3618
Pd1 0.0000 0.5000 0.2500
# formation enthalpy at 0 K = -0.502 eV/atom
# crystal system = tetragonal
# V = 25.35 Å³/atom